Entry from the Alexandria database: a relaxed structure of CdSiTeMoHW (PBE).

Output
space-group type: Pm, No. 6

Cell lengths 4.7779, 3.1367, 7.9963 Å; angles 90.00, 98.22, 90.00 degrees
With the nearest neighbours (Å) after each atom.
Fractional coordinates of all 6 atoms:
Cd: 0.4638 0.0000 0.8185  2 H 2.31-2.47
Si: 0.0540 0.0000 0.4686  2 W 2.50, 2 Mo 2.54, 1 Te 2.64
Te: 0.6141 0.0000 0.2270  1 Si 2.64, 2 Mo 2.75
Mo: 0.4761 0.5000 0.4857  1 W 2.46, 2 Si 2.54, 2 Te 2.75
H: 0.9822 0.0000 0.8265  2 W 1.93
W: 0.9179 0.5000 0.6860  2 H 1.93


Entry from the Alexandria database: a relaxed structure of CdSiTeMoHW (PBE).

Output
space-group type: Pmm2, No. 25

Cell lengths 3.2434, 3.2189, 9.5684 Å; angles 90.00, 90.00, 90.00 degrees
With the nearest neighbours (Å) after each atom.
Fractional coordinates of all 6 atoms:
Cd: 0.0000 0.5000 0.0736  4 H 2.71, 2 W 2.92
Si: 0.0000 0.0000 0.4586  4 W 2.61, 4 Mo 2.72, 2 H 2.76
Te: 0.0000 0.0000 0.7908  4 Mo 2.85, 2 Cd 3.15, 1 Si 3.18
Mo: 0.5000 0.5000 0.6121  4 Si 2.72, 1 W 2.72, 4 Te 2.85
H: 0.5000 0.0000 0.2251  2 W 1.88
W: 0.5000 0.5000 0.3276  2 H 1.88


Entry from the Alexandria database: a relaxed structure of CdSiTeMoHW (PBE).

Output
space-group type: Amm2, No. 38

Cell lengths 3.4769, 3.2922, 17.6206 Å; angles 90.00, 90.00, 90.00 degrees
With the nearest neighbours (Å) after each atom.
Fractional coordinates of all 12 atoms:
Cd: 0.5000 0.0000 0.9362  4 H 2.40
Cd: 0.5000 0.5000 0.4362  4 H 2.40
Si: 0.5000 0.0000 0.7802  2 Mo 2.46, 4 W 2.54, 1 Cd 2.75
Si: 0.5000 0.5000 0.2802  2 Mo 2.46, 4 W 2.54, 1 Cd 2.75
Te: 0.5000 0.0000 0.0997  4 Mo 2.79, 1 Cd 2.88
Te: 0.5000 0.5000 0.5997  4 Mo 2.79, 1 Cd 2.88
Mo: 0.0000 0.0000 0.6812  2 Si 2.46
Mo: 0.0000 0.5000 0.1812  2 Si 2.46
H: 0.0000 0.0000 0.4310  1 W 1.82
H: 0.0000 0.5000 0.9310  1 W 1.82
W: 0.0000 0.0000 0.3279  1 H 1.82
W: 0.0000 0.5000 0.8279  1 H 1.82


Entry from the Alexandria database: a relaxed structure of CdSiTeMoHW (PBE).

Output
space-group type: Pm, No. 6

Cell lengths 3.2713, 3.3961, 9.4492 Å; angles 90.00, 98.41, 90.00 degrees
With the nearest neighbours (Å) after each atom.
Fractional coordinates of all 6 atoms:
Cd: 0.6909 0.0000 0.0574  1 Si 2.76, 1 Te 3.05
Si: 0.8011 0.0000 0.3528  1 H 1.72
Te: 0.5333 0.0000 0.7315  1 H 2.28
Mo: 0.9393 0.5000 0.5585  2 H 1.87
H: 0.1264 0.0000 0.5134  1 Si 1.72, 2 Mo 1.87
W: 0.2750 0.5000 0.2742  4 Si 2.45-2.49


Entry from the Alexandria database: a relaxed structure of CdSiTeMoHW (PBE).

Output
space-group type: P1, No. 1

Cell lengths 3.1583, 3.2592, 10.1000 Å; angles 90.11, 98.94, 90.00 degrees
With the nearest neighbours (Å) after each atom.
Fractional coordinates of all 6 atoms:
Cd: 0.4002 0.0605 0.0432  4 W 2.99-3.00, 1 Te 3.06, 4 Cd 3.16-3.26, 1 Si 3.26
Si: 0.5620 0.0627 0.3702  4 W 2.62, 4 Mo 2.64, 2 H 2.75
Te: 0.2435 0.0649 0.7366  4 H 2.68-2.69, 2 Mo 2.82
Mo: 0.1293 0.5636 0.5061  2 H 1.80
H: 0.6720 0.5646 0.5926  2 Mo 1.80
W: 0.9973 0.5620 0.2392  4 Si 2.62, 1 Mo 2.66


Entry from the Alexandria database: a relaxed structure of CdSiTeMoHW (PBE).

Output
space-group type: P1, No. 1

Cell lengths 3.7893, 5.0265, 5.9013 Å; angles 97.53, 100.67, 94.03 degrees
With the nearest neighbours (Å) after each atom.
Fractional coordinates of all 6 atoms:
Cd: 0.3302 0.0779 0.8811  2 W 3.02-3.06, 4 Te 3.02-3.28, 2 Mo 3.03-3.19, 1 Si 3.14
Si: 0.6753 0.2392 0.4126  1 H 2.34, 2 Mo 2.41-2.49, 2 W 2.51
Te: 0.8579 0.5919 0.9412  1 H 2.66, 1 Mo 2.77, 2 W 2.79-2.80
Mo: 0.1422 0.9262 0.3557  1 H 1.88
H: 0.3772 0.6117 0.3150  1 W 1.81, 1 Mo 1.88
W: 0.2511 0.5329 0.5822  1 H 1.81


Entry from the Alexandria database: a relaxed structure of CdSiTeMoHW (PBE).

Output
space-group type: Cm, No. 8

Cell lengths 3.2147, 5.4992, 6.2305 Å; angles 83.14, 90.03, 73.01 degrees
With the nearest neighbours (Å) after each atom.
Fractional coordinates of all 6 atoms:
Cd: 0.2220 0.1828 0.9371  1 Si 2.68, 2 W 2.95, 1 H 3.00
Si: 0.2419 0.1416 0.3703  2 Mo 2.55, 2 W 2.62, 1 Cd 2.68, 1 Te 2.80
Te: 0.9753 0.6735 0.2522  1 Mo 2.68, 2 W 2.75, 1 Si 2.80
Mo: 0.8751 0.8755 0.6258  2 H 2.02
H: 0.4725 0.6803 0.7561  1 W 1.87, 2 Mo 2.02
W: 0.5995 0.4261 0.5706  1 H 1.87


Entry from the Alexandria database: a relaxed structure of CdSiTeMoHW (PBE).

Output
space-group type: Cm, No. 8

Cell lengths 6.5515, 3.2638, 10.1206 Å; angles 90.00, 103.03, 90.00 degrees
With the nearest neighbours (Å) after each atom.
Fractional coordinates of all 12 atoms:
Cd: 0.3998 0.0000 0.9896  2 H 2.57, 3 W 2.84-2.86
Cd: 0.3998 0.5000 0.4896  2 H 2.57, 3 W 2.84-2.86
Si: 0.2024 0.0000 0.2595  2 H 2.14
Si: 0.2024 0.5000 0.7595  2 H 2.14
Te: 0.8638 0.0000 0.9330  3 Mo 2.76-2.90, 1 W 2.85
Te: 0.8638 0.5000 0.4330  3 Mo 2.76-2.90, 1 W 2.85
Mo: 0.7997 0.0000 0.2071  1 Si 2.57, 2 W 2.66, 2 Te 2.76
Mo: 0.7997 0.5000 0.7071  1 Si 2.57, 2 W 2.66, 2 Te 2.76
H: 0.2272 0.0000 0.6270  1 W 1.78
H: 0.2272 0.5000 0.1270  1 W 1.78
W: 0.4870 0.0000 0.7276  1 H 1.78
W: 0.4870 0.5000 0.2276  1 H 1.78


| no. | calculated total energy (eV/f.u.) |
| --- | --- |
| 1 | -35.11 |
| 2 | -35.82 |
| 3 | -36.32 |
| 4 | -35.41 |
| 5 | -35.89 |
| 6 | -34.65 |
| 7 | -34.91 |
| 8 | -34.67 |